Here is a relaxed structure of Pa2Co3O9 from Alexandria. Energies are from GGA+U.

Calculated values
Total moment (μB/f.u.): 11.00
Mass density (g/cm3): 7.24
Total energy (eV per atom): -7.770
Crystal system: hexagonal
DOS(E_F) (states/eV/f.u.): 0.812

Cell: 6.2719 6.2719 10.5401 Å, 90.00 90.00 120.00°
Space group P6_3/m (No. 176)
Symmetry-distinct sites (fractional):
Pa1 0.3333 0.6667 0.0543
Co1 0.0934 0.7833 0.7500
O1 0.0729 0.6633 0.5833
O2 0.1073 0.7429 0.2500